9
Lattice="3.730 0.000 0.000 0.000 6.679 3.867 0.000 -6.679 3.867" Properties=species:S:1:pos:R:3 comment="Dy2TmIn3CuPt2 | OQMD via LeMat-Bulk | GGA-PBE | relaxed" total_energy_ev_per_atom=-5.03 rho_g_cm3=11.14 space_group="Amm2, No. 38" crystal_system=orthorhombic pbc="T T T"
Cu 0.000 0.000 0.007
Dy 0.000 3.934 2.278
Dy 0.000 -3.934 2.278
In 1.865 1.698 0.986
In 1.865 -1.698 0.986
In 1.865 0.000 5.760
Tm 0.000 0.000 3.183
Pt 1.865 2.204 3.862
Pt 1.865 -2.204 3.862


9
Lattice="3.740 0.000 0.000 0.000 6.714 3.869 0.000 -6.714 3.869" Properties=species:S:1:pos:R:3 comment="Dy2YIn3CuPt2 | OQMD via LeMat-Bulk | GGA-PBE | relaxed" total_energy_ev_per_atom=-5.25 rho_g_cm3=10.36 space_group="Amm2, No. 38" crystal_system=orthorhombic pbc="T T T"
Pt 1.870 -2.251 3.874
Pt 1.870 2.251 3.874
In 1.870 -1.710 0.987
In 1.870 1.710 0.987
In 1.870 0.000 5.763
Cu 0.000 0.000 7.734
Dy 0.000 -3.958 2.282
Dy 0.000 3.958 2.282
Y 0.000 0.000 3.170


19
Lattice="6.871 -1.965 0.000 6.871 1.965 0.000 -5.333 0.000 14.908" Properties=species:S:1:pos:R:3 comment="Dy4In2Cu4S9 | OQMD via LeMat-Bulk | GGA-PBE | relaxed" total_energy_ev_per_atom=-5.21 rho_g_cm3=5.87 space_group="C2/m, No. 12" crystal_system=monoclinic pbc="T T T"
Dy 2.645 0.000 1.555
Dy 2.378 0.000 6.655
Dy 5.763 0.000 13.353
Dy 6.030 0.000 8.253
S 0.896 0.000 8.985
S -2.666 0.000 7.454
S 7.512 0.000 5.923
S 0.718 0.000 13.040
S 11.458 0.000 1.158
S -3.050 0.000 13.750
S 5.063 0.000 10.760
S 3.345 0.000 4.148
S 7.690 0.000 1.869
Cu 8.896 0.000 4.045
Cu 5.705 0.000 0.582
Cu -0.488 0.000 10.863
Cu 2.703 0.000 14.326
In 9.486 0.000 10.902
In -1.077 0.000 4.006